No. 1
This record from Alexandria describes crystalline Tl4Hg2Br9 at its relaxed geometry. The functional is PBE.

Output
**Crystal system**: triclinic
**V**: 1181 Å³ per cell
**Formation energy from raw total energies**: -0.61 eV/atom

Lattice parameters (Å, degrees): 7.522 7.788 22.532 84.71 81.10 64.95
Space group P-1 (No. 2)
Asymmetric unit:
Tl 0.113 0.233 0.332 (multiplicity 2)
Tl 0.176 0.175 0.021 (multiplicity 2)
Tl 0.183 0.154 0.522 (multiplicity 2)
Tl 0.230 0.101 0.809 (multiplicity 2)
Hg 0.417 0.648 0.330 (multiplicity 2)
Hg 0.429 0.494 0.123 (multiplicity 2)
Br 0.073 0.566 0.090 (multiplicity 2)
Br 0.128 0.909 0.267 (multiplicity 2)
Br 0.163 0.759 0.562 (multiplicity 2)
Br 0.214 0.501 0.407 (multiplicity 2)
Br 0.234 0.488 0.734 (multiplicity 2)
Br 0.266 0.812 0.930 (multiplicity 2)
Br 0.396 0.318 0.232 (multiplicity 2)
Br 0.454 0.927 0.392 (multiplicity 2)
Br 0.492 0.803 0.103 (multiplicity 2)

***

No. 2
This record from Alexandria describes crystalline TlHg2Br at its relaxed geometry. The functional is PBE.

Output
**Crystal system**: orthorhombic
**V**: 136 Å³ per cell
**ΔE to the lowest computed polymorph**: 0.148 eV/atom
**Formation energy from raw total energies**: -0.25 eV/atom

Lattice parameters (Å, degrees): 4.395 4.721 6.555 90.00 90.00 90.00
Space group Pmmm (No. 47)
Asymmetric unit:
Tl 0.000 0.000 0.000 (multiplicity 1)
Hg 0.500 0.500 0.266 (multiplicity 2)
Br 0.000 0.000 0.500 (multiplicity 1)

***

No. 3
This record from Alexandria describes crystalline TlHg5Br11 at its relaxed geometry. The functional is PBE.

Output
**Crystal system**: monoclinic
**V**: 1236 Å³ per cell
**Formation energy from raw total energies**: -0.48 eV/atom

Lattice parameters (Å, degrees): 12.548 15.906 7.046 90.00 118.48 90.00
Space group C2/m (No. 12)
Asymmetric unit:
Tl 0.000 0.000 0.000 (multiplicity 2)
Hg 0.000 0.500 0.000 (multiplicity 2)
Hg 0.187 0.156 0.673 (multiplicity 8)
Br 0.000 0.000 0.500 (multiplicity 2)
Br 0.079 0.207 0.294 (multiplicity 8)
Br 0.143 0.500 0.395 (multiplicity 4)
Br 0.201 0.377 0.937 (multiplicity 8)

***

No. 4
This record from Alexandria describes crystalline TlHg4Br8 at its relaxed geometry. The functional is PBE.

Output
**Crystal system**: monoclinic
**V**: 987 Å³ per cell
**Formation energy from raw total energies**: -0.42 eV/atom

Lattice parameters (Å, degrees): 14.262 9.213 10.281 90.00 133.06 90.00
Space group C2/m (No. 12)
Asymmetric unit:
Tl 0.000 0.000 0.000 (multiplicity 2)
Hg 0.000 0.254 0.500 (multiplicity 4)
Hg 0.110 0.500 0.292 (multiplicity 4)
Br 0.042 0.269 0.820 (multiplicity 8)
Br 0.179 0.000 0.646 (multiplicity 4)
Br 0.182 0.500 0.631 (multiplicity 4)

***

No. 5
This record from Alexandria describes crystalline TlHgBr5 at its relaxed geometry. The functional is PBE.

Output
**Crystal system**: monoclinic
**V**: 1122 Å³ per cell
**Formation energy from raw total energies**: -0.40 eV/atom

Lattice parameters (Å, degrees): 10.700 11.659 10.139 90.00 117.51 90.00
Space group C2/c (No. 15)
Asymmetric unit:
Tl 0.000 0.122 0.250 (multiplicity 4)
Hg 0.000 0.500 0.000 (multiplicity 4)
Br 0.000 0.415 0.750 (multiplicity 4)
Br 0.020 0.240 0.478 (multiplicity 8)
Br 0.202 0.038 0.843 (multiplicity 8)

***

No. 6
This record from Alexandria describes crystalline TlHg2Br at its relaxed geometry. The functional is PBE.

Output
**Crystal system**: monoclinic
**V**: 303 Å³ per cell
**ΔE to the lowest computed polymorph**: 0.052 eV/atom
**Formation energy from raw total energies**: -0.35 eV/atom

Lattice parameters (Å, degrees): 8.548 4.949 7.724 90.00 111.76 90.00
Space group Cm (No. 8)
Asymmetric unit:
Tl 0.000 0.000 0.000 (multiplicity 2)
Hg 0.004 0.500 0.510 (multiplicity 2)
Hg 0.241 0.000 0.722 (multiplicity 2)
Br 0.230 0.500 0.191 (multiplicity 2)

***

No. 7
This record from Alexandria describes crystalline Tl2Hg3Br8 at its relaxed geometry. The functional is PBE.

Output
**Crystal system**: monoclinic
**V**: 1062 Å³ per cell
**Formation energy from raw total energies**: -0.57 eV/atom

Lattice parameters (Å, degrees): 14.580 10.453 7.230 90.00 105.45 90.00
Space group C2/m (No. 12)
Asymmetric unit:
Tl 0.208 0.000 0.015 (multiplicity 4)
Hg 0.000 0.192 0.500 (multiplicity 4)
Hg 0.000 0.500 0.000 (multiplicity 2)
Br 0.106 0.000 0.376 (multiplicity 4)
Br 0.114 0.278 0.813 (multiplicity 8)
Br 0.143 0.500 0.279 (multiplicity 4)

***

No. 8
This record from Alexandria describes crystalline TlHg2Br at its relaxed geometry. The functional is PBE.

Output
**Crystal system**: tetragonal
**V**: 142 Å³ per cell
**ΔE to the lowest computed polymorph**: 0.042 eV/atom
**Formation energy from raw total energies**: -0.36 eV/atom

Lattice parameters (Å, degrees): 4.382 4.382 7.417 90.00 90.00 90.00
Space group P4mm (No. 99)
Asymmetric unit:
Tl 0.000 0.000 0.000 (multiplicity 1)
Hg 0.000 0.000 0.470 (multiplicity 1)
Hg 0.500 0.500 0.630 (multiplicity 1)
Br 0.500 0.500 0.141 (multiplicity 1)

***

No. 9
This record from Alexandria describes crystalline TlHg3Br9 at its relaxed geometry. The functional is PBE.

Output
**Crystal system**: monoclinic
**V**: 2136 Å³ per cell
**Formation energy from raw total energies**: -0.43 eV/atom

Lattice parameters (Å, degrees): 20.120 10.348 13.675 90.00 131.38 90.00
Space group Cc (No. 9)
Asymmetric unit:
Tl 0.000 0.198 0.000 (multiplicity 4)
Hg 0.129 0.263 0.855 (multiplicity 4)
Hg 0.203 0.203 0.644 (multiplicity 4)
Hg 0.361 0.435 0.612 (multiplicity 4)
Br 0.023 0.061 0.233 (multiplicity 4)
Br 0.058 0.277 0.567 (multiplicity 4)
Br 0.161 0.125 0.118 (multiplicity 4)
Br 0.197 0.444 0.445 (multiplicity 4)
Br 0.270 0.172 0.929 (multiplicity 4)
Br 0.344 0.153 0.698 (multiplicity 4)
Br 0.369 0.462 0.335 (multiplicity 4)
Br 0.447 0.104 0.544 (multiplicity 4)
Br 0.487 0.166 0.295 (multiplicity 4)

***

No. 10
This record from Alexandria describes crystalline TlHgBr at its relaxed geometry. The functional is PBE.

Output
**Crystal system**: orthorhombic
**V**: 426 Å³ per cell
**ΔE to the lowest computed polymorph**: 0.058 eV/atom
**Formation energy from raw total energies**: -0.48 eV/atom

Lattice parameters (Å, degrees): 5.757 5.770 12.821 90.00 90.00 90.00
Space group Fmm2 (No. 42)
Asymmetric unit:
Tl 0.000 0.000 0.000 (multiplicity 4)
Hg 0.000 0.000 0.690 (multiplicity 4)
Br 0.000 0.000 0.384 (multiplicity 4)

***

No. 11
This record from Alexandria describes crystalline Tl4HgBr4 at its relaxed geometry. The functional is PBE.

Output
**Crystal system**: tetragonal
**V**: 761 Å³ per cell
**Formation energy from raw total energies**: -0.73 eV/atom

Lattice parameters (Å, degrees): 10.689 10.689 6.662 90.00 90.00 90.00
Space group I4/m (No. 87)
Asymmetric unit:
Tl 0.112 0.314 0.000 (multiplicity 8)
Hg 0.000 0.000 0.000 (multiplicity 2)
Br 0.101 0.313 0.500 (multiplicity 8)

***

No. 12
This record from Alexandria describes crystalline Tl3HgBr6 at its relaxed geometry. The functional is PBE.

Output
**Crystal system**: orthorhombic
**V**: 1521 Å³ per cell
**Formation energy from raw total energies**: -0.62 eV/atom

Lattice parameters (Å, degrees): 12.883 15.675 7.532 90.00 90.00 90.00
Space group Cmc2_1 (No. 36)
Asymmetric unit:
Tl 0.000 0.075 0.000 (multiplicity 4)
Tl 0.182 0.399 0.893 (multiplicity 8)
Hg 0.000 0.296 0.338 (multiplicity 4)
Br 0.000 0.280 0.679 (multiplicity 4)
Br 0.000 0.455 0.206 (multiplicity 4)
Br 0.153 0.217 0.145 (multiplicity 8)
Br 0.156 0.042 0.707 (multiplicity 8)